The following is a DFT calculation (PBE-GGA) of ZrSnAsBr2 after structural relaxation.

Lattice parameters (Å, degrees): 5.380 5.380 5.463 90.00 90.00 90.00
Fractional coordinates of all 5 atoms:
As  0.000  0.000  0.500
Br  0.000  0.500  0.000
Br  0.500  0.000  0.000
Sn  0.000  0.000  0.000
Zr  0.500  0.500  0.500

Calculated values
E_form (uncorrected)   490 meV per atom
Total magnetization   0.33 μB/atom
Relative energy among the computed polymorphs   0.7942 eV/atom
DOS(E_F)   5.91 states/eV/cell



The following is a DFT calculation (PBE-GGA) of ZrSnAs2Br after structural relaxation.

Lattice parameters (Å, degrees): 5.202 5.202 5.271 90.00 90.00 90.00
Fractional coordinates of all 5 atoms:
As  0.000  0.500  0.000
As  0.500  0.000  0.000
Br  0.000  0.000  0.500
Sn  0.000  0.000  0.000
Zr  0.500  0.500  0.500

Calculated values
E_form (uncorrected)   667 meV per atom
Total magnetization   0.21 μB/atom
Relative energy among the computed polymorphs   0.7736 eV/atom
DOS(E_F)   4.32 states/eV/cell